Entry from the Alexandria database: a relaxed PaMn2AsO8 crystal (PBE with a Hubbard U).

The structure in POSCAR format:
```
PaMn2AsO8
1.0
-3.419 3.419 3.327
3.419 -3.419 3.327
3.419 3.419 -3.327
Pa Mn As O
1 2 1 8
direct
0.000 0.000 0.000
0.250 0.750 0.500
0.500 0.500 0.000
0.750 0.250 0.500
0.054 0.373 0.319
0.054 0.734 0.681
0.118 0.302 0.816
0.266 0.946 0.319
0.486 0.302 0.184
0.627 0.946 0.681
0.698 0.514 0.816
0.698 0.882 0.184
```

Computed properties:
final energy: -88.81 eV for the cell shown